MgCrMo2 | the Alexandria database | PBE | optimized geometry; spin magnetization = 1.07 μB per cell; formation enthalpy at 0 K = 0.408 eV/atom
1.0
2.606 0.000 0.000
0.000 4.412 0.000
0.000 0.000 5.363
Mg Cr Mo
1 1 2
direct
0.000 0.000 0.000
0.000 0.000 0.500
0.500 0.500 0.256
0.500 0.500 0.744